Compound: NbV3Cl
Source: Alexandria
Functional: PBE
Structure: relaxed

## Properties
Raw formation energy (eV per formula unit): 7.9

Structure (CIF):
```
data_NbV3Cl
_chemical_formula_sum 'Nb1 V3 Cl1'
_cell_length_a 4.8539
_cell_length_b 4.8539
_cell_length_c 4.8539
_cell_angle_alpha 90.00
_cell_angle_beta 90.00
_cell_angle_gamma 90.00
_space_group_name_H-M_alt 'P m -3 m'
_space_group_IT_number 221
_space_group_name_Hall '-P 4 2 3'
loop_
_atom_site_label
_atom_site_type_symbol
_atom_site_fract_x
_atom_site_fract_y
_atom_site_fract_z
Nb1 Nb 0.0000 0.0000 0.0000
V1 V 0.0000 0.0000 0.5000
Cl1 Cl 0.5000 0.5000 0.5000
```



Compound: Nd2SmEr4Tm
Source: Alexandria
Functional: PBE
Structure: relaxed

## Properties
DFT formation energy (eV/atom): 0.42

Structure (CIF):
```
data_Nd2SmEr4Tm
_chemical_formula_sum 'Nd8 Sm4 Er16 Tm4'
_cell_length_a 6.7801
_cell_length_b 11.8063
_cell_length_c 13.2357
_cell_angle_alpha 90.00
_cell_angle_beta 90.00
_cell_angle_gamma 90.00
_space_group_name_H-M_alt 'I m m a'
_space_group_IT_number 74
_space_group_name_Hall '-I 2b 2'
loop_
_atom_site_label
_atom_site_type_symbol
_atom_site_fract_x
_atom_site_fract_y
_atom_site_fract_z
Nd1 Nd 0.0000 0.0000 0.0000
Nd2 Nd 0.2500 0.2500 0.2500
Sm1 Sm 0.0000 0.0000 0.5000
Er1 Er 0.0000 0.0054 0.7499
Er2 Er 0.2500 0.2500 0.5057
Tm1 Tm 0.2500 0.2500 0.7500
```



Compound: U2OsRh
Source: Alexandria
Functional: PBE
Structure: relaxed

## Properties
DFT formation energy (eV/atom): -0.15

Structure (CIF):
```
data_U2OsRh
_chemical_formula_sum 'U2 Os1 Rh1'
_cell_length_a 3.3596
_cell_length_b 3.3596
_cell_length_c 6.9537
_cell_angle_alpha 90.00
_cell_angle_beta 90.00
_cell_angle_gamma 90.00
_space_group_name_H-M_alt 'P 4/m m m'
_space_group_IT_number 123
_space_group_name_Hall '-P 4 2'
loop_
_atom_site_label
_atom_site_type_symbol
_atom_site_fract_x
_atom_site_fract_y
_atom_site_fract_z
U1 U 0.0000 0.0000 0.2464
Os1 Os 0.5000 0.5000 0.0000
Rh1 Rh 0.5000 0.5000 0.5000
```